Entry 1:
The following is a PBE-GGA calculation of a relaxed YHoBiS2 crystal, from Alexandria.

Calculated values
- Total DFT energy (no corrections): -5.919 eV per atom

Lattice parameters (Å, degrees): 4.5082 4.5082 7.5575 107.35 107.35 90.00
Sites, in units of the cell vectors:
Ho 0.8525 0.8525 0.7050
Y 0.1463 0.1463 0.2926
S 0.7508 0.2508 0.5017
S 0.2508 0.7508 0.5017
Bi 0.4995 0.4995 0.9990



Entry 2:
The following is a PBE-GGA calculation of a relaxed CaBiB crystal, from Alexandria.

Calculated values
- Excess energy over the best structure of this formula in the dataset: 970 meV per atom
- Total DFT energy (no corrections): -3.249 eV per atom

Lattice parameters (Å, degrees): 4.8832 4.8832 4.8832 60.00 60.00 60.00
Sites, in units of the cell vectors:
Bi 0.5000 0.5000 0.5000
B 0.0000 0.0000 0.0000
Ca 0.7500 0.7500 0.7500



Entry 3:
The following is a PBE-GGA calculation of a relaxed Ce2Pd3Pt4 crystal, from Alexandria.

Calculated values
- Total DFT energy (no corrections): -6.499 eV per atom

Lattice parameters (Å, degrees): 4.1503 5.1705 8.6570 73.58 76.13 66.34
Sites, in units of the cell vectors:
Ce 0.6713 0.8863 0.7711
Ce 0.3287 0.1137 0.2289
Pd 0.3419 0.7675 0.5487
Pd 0.6581 0.2325 0.4513
Pd 0.0000 0.0000 0.0000
Pt 0.0020 0.6627 0.3333
Pt 0.9980 0.3373 0.6667
Pt 0.6657 0.5625 0.1060
Pt 0.3343 0.4375 0.8940



Entry 4:
The following is a PBE-GGA calculation of a relaxed In2MoAs crystal, from Alexandria.

Calculated values
- Total DFT energy (no corrections): -5.156 eV per atom

Lattice parameters (Å, degrees): 9.5337 9.5337 9.5337 19.71 19.71 19.71
Sites, in units of the cell vectors:
In 0.0021 0.0021 0.0021
In 0.2389 0.2389 0.2389
Mo 0.4926 0.4926 0.4926
As 0.7665 0.7665 0.7665



Entry 5:
The following is a PBE-GGA calculation of a relaxed Tb6GaPb2 crystal, from Alexandria.

Calculated values
- Total DFT energy (no corrections): -4.676 eV per atom

Lattice parameters (Å, degrees): 4.3411 8.3652 8.3651 120.00 90.00 90.00
Last column: magnetic moment on the atom in μB.
Sites, in units of the cell vectors:
Pb 0.0000 0.3333 0.6666  -0.01
Pb 0.0000 0.6667 0.3334  -0.01
Tb 0.5000 0.0000 0.5973  0.53
Tb 0.5000 0.5973 0.0000  0.53
Tb 0.0000 0.2453 0.0000  0.54
Tb 0.0000 0.0000 0.2452  0.54
Tb 0.5000 0.4027 0.4027  0.53
Tb 0.0000 0.7548 0.7548  0.54
Ga 0.5000 0.0000 0.0000  -0.02



Entry 6:
The following is a PBE-GGA calculation of a relaxed RbPmSeO6 crystal, from Alexandria.

Calculated values
- Total DFT energy (no corrections): -5.627 eV per atom

Lattice parameters (Å, degrees): 5.7359 5.7359 6.0399 90.01 89.99 59.99
Last column: magnetic moment on the atom in μB.
Sites, in units of the cell vectors:
O 0.0705 0.3438 0.3282  0.29
O 0.3438 0.0705 0.6718  0.29
O 0.3438 0.5856 0.3282  0.29
O 0.0704 0.5858 0.6717  0.29
O 0.5858 0.0704 0.3283  0.29
O 0.5856 0.3439 0.6718  0.29
Rb 0.9999 0.0000 0.0000  0.00
Se 0.3333 0.3334 0.5000  -0.04
Pm 0.6666 0.6667 0.5000  -0.01



Entry 7:
The following is a PBE-GGA calculation of a relaxed Zn2H3Pd8 crystal, from Alexandria.

Calculated values
- Total DFT energy (no corrections): -4.306 eV per atom

Lattice parameters (Å, degrees): 4.7239 5.7186 7.0412 113.96 106.62 90.00
Sites, in units of the cell vectors:
Pd 0.6519 0.6784 0.8498
Pd 0.8970 0.1411 0.2822
Pd 0.3481 0.8286 0.1502
Pd 0.0962 0.3668 0.7337
Pd 0.9038 0.6332 0.2663
Pd 0.6519 0.1714 0.8498
Pd 0.3481 0.3216 0.1502
Pd 0.1030 0.8589 0.7178
Zn 0.4909 0.2519 0.5038
Zn 0.5091 0.7481 0.4962
H 0.5000 0.0000 0.0000
H 0.0000 0.3343 0.0000
H 0.0000 0.6657 0.0000



Entry 8:
The following is a PBE-GGA calculation of a relaxed TcIOF2 crystal, from Alexandria.

Calculated values
- Excess energy over the best structure of this formula in the dataset: 1064 meV per atom
- Total DFT energy (no corrections): -3.816 eV per atom

Lattice parameters (Å, degrees): 5.0065 5.0065 3.9929 90.00 90.00 90.00
Last column: magnetic moment on the atom in μB.
Sites, in units of the cell vectors:
I 0.0000 0.0000 0.0000  -0.01
O 0.0000 0.0000 0.5000  0.05
F 0.5000 0.0000 0.0000  0.02
F 0.0000 0.5000 0.0000  0.02
Tc 0.5000 0.5000 0.5000  3.95



Entry 9:
The following is a PBE-GGA calculation of a relaxed Pr2YAg2 crystal, from Alexandria.

Calculated values
- Excess energy over the best structure of this formula in the dataset: 0 meV per atom
- Total DFT energy (no corrections): -4.491 eV per atom

Lattice parameters (Å, degrees): 3.6254 3.6388 10.8607 80.36 90.00 90.00
Last column: magnetic moment on the atom in μB.
Sites, in units of the cell vectors:
Y 0.0000 0.0000 0.0000  0.00
Pr 0.0000 0.8232 0.3537  0.09
Pr 0.0000 0.1768 0.6463  0.09
Ag 0.5000 0.4184 0.1632  0.00
Ag 0.5000 0.5816 0.8368  0.00



Entry 10:
The following is a PBE-GGA calculation of a relaxed BeFe3Br crystal, from Alexandria.

Calculated values
- Excess energy over the best structure of this formula in the dataset: 553 meV per atom
- Total DFT energy (no corrections): -4.767 eV per atom

Lattice parameters (Å, degrees): 4.3091 4.3091 4.3091 90.00 90.00 90.00
Last column: magnetic moment on the atom in μB.
Sites, in units of the cell vectors:
Fe 0.0000 0.0000 0.5000  1.87
Fe 0.5000 0.0000 0.0000  2.20
Fe 0.0000 0.5000 0.0000  2.00
Br 0.0000 0.0000 0.0000  -0.04
Be 0.5000 0.5000 0.5000  -0.10



Entry 11:
The following is a PBE-GGA calculation of a relaxed GdZnInGa crystal, from Alexandria.

Calculated values
- Total DFT energy (no corrections): -5.556 eV per atom

Lattice parameters (Å, degrees): 4.9608 4.9608 4.9608 60.00 60.00 60.00
Last column: magnetic moment on the atom in μB.
Sites, in units of the cell vectors:
Ga 0.2500 0.2500 0.2500  -0.05
Gd 0.5000 0.5000 0.5000  6.87
In 0.0000 0.0000 0.0000  -0.05
Zn 0.7500 0.7500 0.7500  -0.03



Entry 12:
The following is a PBE-GGA calculation of a relaxed RbTlI crystal, from Alexandria.

Calculated values
- Total DFT energy (no corrections): -2.417 eV per atom

Lattice parameters (Å, degrees): 4.5884 6.8027 15.1617 124.19 119.51 47.36
Sites, in units of the cell vectors:
Rb 0.7164 0.0233 0.0839
Rb 0.4603 0.8570 0.4418
I 0.3851 0.2540 0.3318
I 0.6450 0.4239 0.9784
Tl 0.4677 0.9427 0.7310
Tl 0.4633 0.4516 0.7327



Entry 13:
The following is a PBE-GGA calculation of a relaxed LaTl2P crystal, from Alexandria.

Calculated values
- Excess energy over the best structure of this formula in the dataset: 278 meV per atom
- Total DFT energy (no corrections): -4.021 eV per atom

Lattice parameters (Å, degrees): 5.3074 5.3074 5.3074 60.00 60.00 60.00
Sites, in units of the cell vectors:
La 0.5000 0.5000 0.5000
Tl 0.2500 0.2500 0.2500
Tl 0.0000 0.0000 0.0000
P 0.7500 0.7500 0.7500



Entry 14:
The following is a PBE-GGA calculation of a relaxed Si3Pb crystal, from Alexandria.

Calculated values
- Excess energy over the best structure of this formula in the dataset: 378 meV per atom
- Total DFT energy (no corrections): -4.230 eV per atom

Lattice parameters (Å, degrees): 5.4067 5.4067 5.4067 116.00 116.00 116.00
Sites, in units of the cell vectors:
Si 0.0000 0.5000 0.5000
Si 0.5000 0.5000 0.0000
Si 0.5000 0.0000 0.5000
Pb 0.0000 0.0000 0.0000



Entry 15:
The following is a PBE-GGA calculation of a relaxed LaMn3 crystal, from Alexandria.

Calculated values
- Total DFT energy (no corrections): -7.856 eV per atom

Lattice parameters (Å, degrees): 4.0712 5.9219 6.0085 90.00 90.00 90.00
Sites, in units of the cell vectors:
Mn 0.5000 0.0890 0.6869
Mn 0.0000 0.9110 0.8131
Mn 0.5000 0.0890 0.3131
Mn 0.5000 0.8578 0.0000
Mn 0.0000 0.1422 0.5000
Mn 0.0000 0.9110 0.1869
La 0.5000 0.6148 0.5000
La 0.0000 0.3852 0.0000



Entry 16:
The following is a PBE-GGA calculation of a relaxed ZnCoRuAu2 crystal, from Alexandria.

Calculated values
- Excess energy over the best structure of this formula in the dataset: 0 meV per atom
- Total DFT energy (no corrections): -3.911 eV per atom

Lattice parameters (Å, degrees): 4.7816 4.2623 4.7816 90.00 90.00 90.00
Last column: magnetic moment on the atom in μB.
Sites, in units of the cell vectors:
Ru 0.0000 0.5000 0.0000  0.02
Co 0.0000 0.0000 0.0000  0.15
Au 0.5000 0.0000 0.0000  0.00
Au 0.0000 0.0000 0.5000  0.01
Zn 0.5000 0.5000 0.5000  0.00



Entry 17:
The following is a PBE-GGA calculation of a relaxed La2TlTe crystal, from Alexandria.

Calculated values
- Excess energy over the best structure of this formula in the dataset: 159 meV per atom
- Total DFT energy (no corrections): -4.686 eV per atom

Lattice parameters (Å, degrees): 5.7655 5.7575 3.7543 90.00 90.00 90.00
Last column: magnetic moment on the atom in μB.
Sites, in units of the cell vectors:
Tl 0.0000 0.5000 0.5000  0.01
Te 0.5000 0.0000 0.5000  0.00
La 0.0000 0.0000 0.0000  0.09
La 0.5000 0.5000 0.0000  0.09



Entry 18:
The following is a PBE-GGA calculation of a relaxed Ba5Hg2HPd crystal, from Alexandria.

Calculated values
- Total DFT energy (no corrections): -2.515 eV per atom

Lattice parameters (Å, degrees): 4.6158 10.4210 15.0041 90.00 90.00 102.80
Sites, in units of the cell vectors:
Hg 0.1114 0.2228 0.6919
Hg 0.8886 0.7772 0.1919
Hg 0.8693 0.7385 0.8274
Hg 0.1307 0.2615 0.3274
Ba 0.6873 0.3746 0.8761
Ba 0.4973 0.9946 0.7781
Ba 0.7098 0.4197 0.1693
Ba 0.0447 0.0894 0.0148
Ba 0.6458 0.2917 0.5110
Ba 0.5027 0.0054 0.2781
Ba 0.9553 0.9106 0.5148
Ba 0.3542 0.7083 0.0110
Ba 0.3127 0.6254 0.3761
Ba 0.2902 0.5803 0.6693
Pd 0.1998 0.3996 0.0227
Pd 0.8002 0.6004 0.5227
H 0.5566 0.1131 0.9326
H 0.4434 0.8869 0.4326



Entry 19:
The following is a PBE-GGA calculation of a relaxed Na2AuF4 crystal, from Alexandria.

Calculated values
- Excess energy over the best structure of this formula in the dataset: 89 meV per atom
- Total DFT energy (no corrections): -3.685 eV per atom

Lattice parameters (Å, degrees): 4.5765 4.5765 6.6725 69.94 69.94 90.00
Last column: magnetic moment on the atom in μB.
Sites, in units of the cell vectors:
Au 0.0000 0.0000 0.0000  0.49
F 0.8174 0.8174 0.3653  0.07
F 0.0000 0.5000 0.0000  0.07
F 0.1826 0.1826 0.6347  0.07
F 0.5000 0.0000 0.0000  0.07
Na 0.3667 0.3667 0.2667  0.00
Na 0.6333 0.6333 0.7333  0.00



Entry 20:
The following is a PBE-GGA calculation of a relaxed Na3Tb2HfTe6 crystal, from Alexandria.

Calculated values
- Total DFT energy (no corrections): -4.637 eV per atom

Lattice parameters (Å, degrees): 7.4736 7.4736 8.0389 98.95 98.95 120.01
Sites, in units of the cell vectors:
Na 0.1719 0.8281 0.5000
Na 0.8281 0.1719 0.5000
Na 0.5000 0.5000 0.5000
Te 0.9237 0.6059 0.7705
Te 0.0763 0.3941 0.2295
Te 0.3941 0.0763 0.2295
Te 0.6059 0.9237 0.7705
Te 0.7602 0.7602 0.2302
Te 0.2398 0.2398 0.7698
Tb 0.6659 0.3341 0.0000
Tb 0.3341 0.6659 0.0000
Hf 0.0000 0.0000 0.0000



Entry 21:
The following is a PBE-GGA calculation of a relaxed BaCaZnSe2 crystal, from Alexandria.

Calculated values
- Total DFT energy (no corrections): -2.274 eV per atom

Lattice parameters (Å, degrees): 6.0709 6.9193 6.0709 90.00 90.00 90.00
Last column: magnetic moment on the atom in μB.
Sites, in units of the cell vectors:
Se 0.5000 0.0000 0.0000  0.27
Se 0.0000 0.0000 0.5000  0.38
Ba 0.0000 0.0000 0.0000  0.00
Ca 0.0000 0.5000 0.0000  -0.02
Zn 0.5000 0.5000 0.5000  0.00



Entry 22:
The following is a PBE-GGA calculation of a relaxed TbThSbP crystal, from Alexandria.

Calculated values
- Total DFT energy (no corrections): -6.608 eV per atom

Lattice parameters (Å, degrees): 4.2081 4.2079 7.6634 90.00 105.93 120.00
Sites, in units of the cell vectors:
Sb 0.4673 0.1316 0.6140
P 0.1371 0.9665 0.1190
Tb 0.9476 0.3718 0.3347
Th 0.3259 0.5609 0.9020



Entry 23:
The following is a PBE-GGA calculation of a relaxed Li2TbPuS4 crystal, from Alexandria.

Calculated values
- Total DFT energy (no corrections): -6.593 eV per atom

Lattice parameters (Å, degrees): 3.9564 6.8422 6.5625 110.53 90.00 90.00
Last column: magnetic moment on the atom in μB.
Sites, in units of the cell vectors:
Li 0.5000 0.0000 0.5000  0.00
Li 0.0000 0.5000 0.5000  0.00
S 0.0000 0.2497 0.7500  -0.07
S 0.5000 0.7509 0.7468  -0.03
S 0.5000 0.2491 0.2532  -0.03
S 0.0000 0.7503 0.2500  -0.07
Pu 0.5000 0.5000 0.0000  5.00
Tb 0.0000 0.0000 0.0000  0.05



Entry 24:
The following is a PBE-GGA calculation of a relaxed BaNaLi2Nb crystal, from Alexandria.

Calculated values
- Total DFT energy (no corrections): -2.564 eV per atom

Lattice parameters (Å, degrees): 5.2887 5.8543 5.2887 90.00 90.00 90.00
Last column: magnetic moment on the atom in μB.
Sites, in units of the cell vectors:
Na 0.0000 0.0000 0.0000  0.03
Ba 0.5000 0.5000 0.5000  0.12
Nb 0.0000 0.5000 0.0000  2.82
Li 0.0000 0.0000 0.5000  -0.01
Li 0.5000 0.0000 0.0000  0.00



Entry 25:
The following is a PBE-GGA calculation of a relaxed HfVSb2Ir crystal, from Alexandria.

Calculated values
- Total DFT energy (no corrections): -6.267 eV per atom

Lattice parameters (Å, degrees): 5.0897 4.9836 5.0897 90.00 90.00 90.00
Last column: magnetic moment on the atom in μB.
Sites, in units of the cell vectors:
Ir 0.0000 0.0000 0.0000  0.06
Sb 0.0000 0.0000 0.5000  0.02
Sb 0.5000 0.0000 0.0000  0.03
V 0.5000 0.5000 0.5000  -0.11
Hf 0.0000 0.5000 0.0000  0.02



Entry 26:
The following is a PBE-GGA calculation of a relaxed Zr2Mo crystal, from Alexandria.

Calculated values
- Excess energy over the best structure of this formula in the dataset: 56 meV per atom
- Total DFT energy (no corrections): -9.254 eV per atom

Lattice parameters (Å, degrees): 5.9621 4.8161 8.5561 90.00 90.00 90.00
Sites, in units of the cell vectors:
Zr 0.6724 0.2500 0.9292
Zr 0.4623 0.7500 0.7156
Zr 0.3276 0.7500 0.0708
Zr 0.0377 0.2500 0.2156
Zr 0.9623 0.7500 0.7844
Zr 0.5377 0.2500 0.2844
Zr 0.1724 0.2500 0.5708
Zr 0.8276 0.7500 0.4292
Mo 0.6736 0.2500 0.5926
Mo 0.1736 0.2500 0.9074
Mo 0.3264 0.7500 0.4074
Mo 0.8264 0.7500 0.0926